Computed, not measured: an optimized crystal structure of Sr2LiIr2 at the PBE-GGA level of DFT.

Cell lengths 4.7358, 5.0926, 9.6878 Å; angles 90.00, 90.00, 90.00 degrees
With the nearest neighbours (Å) after each atom.
Space group Immm (No. 71)
Symmetry-distinct sites (fractional):
1 Sr 0.0000 0.0000 0.1915 (multiplicity 4)  2 Li 3.15, 6 Ir 3.25-3.26
2 Li 0.0000 0.5000 0.0000 (multiplicity 2)  4 Ir 2.69
3 Ir 0.0000 0.2518 0.5000 (multiplicity 4)  2 Ir 2.53-2.56, 2 Li 2.69

- ΔE to the lowest computed polymorph (eV/atom) = 0.000
- formation energy from the elements (eV per atom) = -0.26



Computed, not measured: an optimized crystal structure of SrLi2Ir at the PBE-GGA level of DFT.

Cell lengths 6.6706, 6.6706, 6.6706 Å; angles 90.00, 90.00, 90.00 degrees
With the nearest neighbours (Å) after each atom.
Space group Fm-3m (No. 225)
Symmetry-distinct sites (fractional):
1 Sr 0.0000 0.0000 0.0000 (multiplicity 4)  8 Li 2.89
2 Li 0.2500 0.2500 0.2500 (multiplicity 8)  4 Ir 2.89, 4 Sr 2.89
3 Ir 0.0000 0.0000 0.5000 (multiplicity 4)  8 Li 2.89

- ΔE to the lowest computed polymorph (eV/atom) = 0.072
- formation energy from the elements (eV per atom) = 0.03



Computed, not measured: an optimized crystal structure of Sr2LiIr2 at the PBE-GGA level of DFT.

Cell lengths 8.9931, 5.9580, 8.8431 Å; angles 90.00, 101.50, 90.00 degrees
With the nearest neighbours (Å) after each atom.
Space group C2/c (No. 15)
Symmetry-distinct sites (fractional):
1 Sr 0.1533 0.1305 0.1524 (multiplicity 8)  5 Ir 3.03-3.25, 2 Li 3.07-3.27
2 Li 0.0000 0.4079 0.7500 (multiplicity 4)  4 Ir 2.63-2.69
3 Ir 0.1297 0.3729 0.5090 (multiplicity 8)  2 Li 2.63-2.69, 2 Ir 2.64-2.76

- ΔE to the lowest computed polymorph (eV/atom) = 0.099
- formation energy from the elements (eV per atom) = -0.16



Computed, not measured: an optimized crystal structure of SrLi2Ir2 at the PBE-GGA level of DFT.

Cell lengths 4.4475, 4.4475, 9.7909 Å; angles 90.00, 90.00, 90.00 degrees
With the nearest neighbours (Å) after each atom.
Space group I4/mmm (No. 139)
Symmetry-distinct sites (fractional):
1 Sr 0.0000 0.0000 0.0000 (multiplicity 2)  8 Li 3.31, 10 Ir 3.37-3.69
2 Li 0.0000 0.5000 0.2500 (multiplicity 4)  4 Ir 2.55
3 Ir 0.0000 0.0000 0.3772 (multiplicity 4)  1 Ir 2.40, 4 Li 2.55

- ΔE to the lowest computed polymorph (eV/atom) = 0.046
- formation energy from the elements (eV per atom) = 0.14



Computed, not measured: an optimized crystal structure of SrLi2Ir2 at the PBE-GGA level of DFT.

Cell lengths 7.7418, 7.7418, 2.7701 Å; angles 90.00, 90.00, 90.00 degrees
With the nearest neighbours (Å) after each atom.
Space group P4/mbm (No. 127)
Symmetry-distinct sites (fractional):
1 Sr 0.0000 0.0000 0.0000 (multiplicity 2)  2 Sr 2.77, 4 Li 2.90
2 Li 0.1626 0.3374 0.0000 (multiplicity 4)  6 Ir 2.63-2.73, 2 Li 2.77, 2 Sr 2.90
3 Ir 0.1230 0.6230 0.5000 (multiplicity 4)  6 Li 2.63-2.73, 3 Ir 2.69-2.77

- ΔE to the lowest computed polymorph (eV/atom) = 0.000
- formation energy from the elements (eV per atom) = 0.09



Computed, not measured: an optimized crystal structure of SrLi4Ir at the PBE-GGA level of DFT.

Cell lengths 7.6026, 7.6026, 7.6026 Å; angles 90.00, 90.00, 90.00 degrees
With the nearest neighbours (Å) after each atom.
Space group F-43m (No. 216)
Symmetry-distinct sites (fractional):
1 Sr 0.0000 0.0000 0.0000 (multiplicity 4)  12 Li 3.16, 4 Ir 3.29
2 Li 0.1203 0.1203 0.3797 (multiplicity 16)  6 Li 2.59-2.79
3 Ir 0.2500 0.2500 0.7500 (multiplicity 4)  12 Li 3.14, 4 Sr 3.29

- formation energy from the elements (eV per atom) = 0.10



Computed, not measured: an optimized crystal structure of SrLi2Ir at the PBE-GGA level of DFT.

Cell lengths 3.5494, 4.2174, 6.4879 Å; angles 90.00, 105.65, 90.00 degrees
With the nearest neighbours (Å) after each atom.
Space group Pm (No. 6)
Symmetry-distinct sites (fractional):
1 Sr 0.0000 0.0000 0.0000 (multiplicity 1)  4 Ir 3.07, 2 Li 3.23
2 Li 0.2553 0.5000 0.5172 (multiplicity 1)  2 Ir 2.58, 4 Li 2.80-2.81
3 Li 0.7116 0.0000 0.4319 (multiplicity 1)  2 Ir 2.50
4 Ir 0.6073 0.5000 0.2173 (multiplicity 1)  4 Li 2.50-2.58

- ΔE to the lowest computed polymorph (eV/atom) = 0.087
- formation energy from the elements (eV per atom) = 0.05



Computed, not measured: an optimized crystal structure of Sr4Li2Ir at the PBE-GGA level of DFT.

Cell lengths 5.8211, 5.8211, 17.4955 Å; angles 90.00, 90.00, 90.00 degrees
With the nearest neighbours (Å) after each atom.
Space group I4/mmm (No. 139)
Symmetry-distinct sites (fractional):
1 Sr 0.0000 0.0000 0.1688 (multiplicity 4)  1 Ir 2.95
2 Sr 0.0000 0.5000 0.0000 (multiplicity 4)  2 Ir 2.91
3 Li 0.0000 0.0000 0.3735 (multiplicity 4)  5 Sr 3.58-3.66
4 Ir 0.0000 0.0000 0.0000 (multiplicity 2)  6 Sr 2.91-2.95

- formation energy from the elements (eV per atom) = 0.00



Computed, not measured: an optimized crystal structure of Sr3LiIr at the PBE-GGA level of DFT.

Cell lengths 5.8852, 5.8852, 5.8852 Å; angles 90.00, 90.00, 90.00 degrees
With the nearest neighbours (Å) after each atom.
Space group Pm-3m (No. 221)
Symmetry-distinct sites (fractional):
1 Sr 0.0000 0.0000 0.5000 (multiplicity 3)  2 Ir 2.94
2 Li 0.5000 0.5000 0.5000 (multiplicity 1)  12 Sr 4.16
3 Ir 0.0000 0.0000 0.0000 (multiplicity 1)  6 Sr 2.94

- ΔE to the lowest computed polymorph (eV/atom) = 0.045
- formation energy from the elements (eV per atom) = -0.08



Computed, not measured: an optimized crystal structure of SrLiIr at the PBE-GGA level of DFT.

Cell lengths 3.5222, 3.5222, 10.0130 Å; angles 90.00, 90.00, 90.00 degrees
With the nearest neighbours (Å) after each atom.
Space group I4mm (No. 107)
Symmetry-distinct sites (fractional):
1 Sr 0.0000 0.0000 0.0000 (multiplicity 2)  1 Li 2.76
2 Li 0.0000 0.0000 0.2754 (multiplicity 2)  4 Ir 2.63, 1 Sr 2.76
3 Ir 0.0000 0.0000 0.6909 (multiplicity 2)  4 Li 2.63

- ΔE to the lowest computed polymorph (eV/atom) = 0.090
- formation energy from the elements (eV per atom) = 0.06



Computed, not measured: an optimized crystal structure of Sr2LiTeIr at the PBE-GGA level of DFT.

Cell lengths 5.7211, 5.7211, 4.7549 Å; angles 90.00, 90.00, 90.00 degrees
With the nearest neighbours (Å) after each atom.
Space group P4/mmm (No. 123)
Symmetry-distinct sites (fractional):
1 Sr 0.0000 0.5000 0.0000 (multiplicity 2)  2 Ir 2.86
2 Li 0.0000 0.0000 0.5000 (multiplicity 1)  2 Ir 2.38
3 Te 0.5000 0.5000 0.5000 (multiplicity 1)  8 Sr 3.72, 4 Li 4.05
4 Ir 0.0000 0.0000 0.0000 (multiplicity 1)  2 Li 2.38

- energy relative to the elements, uncorrected (kJ/mol of formula units) = -244



Computed, not measured: an optimized crystal structure of SrLiV2Ir at the PBE-GGA level of DFT.

Cell lengths 4.6909, 4.6909, 4.9897 Å; angles 90.00, 90.00, 90.00 degrees
With the nearest neighbours (Å) after each atom.
Space group P4/mmm (No. 123)
Symmetry-distinct sites (fractional):
1 Sr 0.0000 0.0000 0.0000 (multiplicity 1)  4 V 2.35, 2 Ir 2.49
2 Li 0.5000 0.5000 0.5000 (multiplicity 1)  4 Ir 3.32, 8 V 3.42
3 V 0.0000 0.5000 0.0000 (multiplicity 2)  2 Sr 2.35
4 Ir 0.0000 0.0000 0.5000 (multiplicity 1)  2 Sr 2.49

- formation energy from the elements (eV per atom) = 2.38



Copy entry 4 word for word.
Computed, not measured: an optimized crystal structure of SrLi2Ir2 at the PBE-GGA level of DFT.

Cell lengths 4.4475, 4.4475, 9.7909 Å; angles 90.00, 90.00, 90.00 degrees
With the nearest neighbours (Å) after each atom.
Space group I4/mmm (No. 139)
Symmetry-distinct sites (fractional):
1 Sr 0.0000 0.0000 0.0000 (multiplicity 2)  8 Li 3.31, 10 Ir 3.37-3.69
2 Li 0.0000 0.5000 0.2500 (multiplicity 4)  4 Ir 2.55
3 Ir 0.0000 0.0000 0.3772 (multiplicity 4)  1 Ir 2.40, 4 Li 2.55

- ΔE to the lowest computed polymorph (eV/atom) = 0.046
- formation energy from the elements (eV per atom) = 0.14